No. 1
The following is a DFT calculation (PBE) of PmSmCBr after structural relaxation.

a = 3.765 Å, b = 3.765 Å, c = 7.710 Å
α = 90.00°, β = 104.13°, γ = 120.00°
Positions (direct):
Pm 0.515 0.155 0.685
Sm 0.091 0.943 0.050
C 0.306 0.551 0.872
Br 0.966 0.381 0.362

Computed properties:
The calculation puts the formation energy from raw total energies at -3.6 eV per formula unit. The magnetization comes out at 0.00 μB per formula unit.

---

No. 2
The following is a DFT calculation (PBE) of Pm3TeCBr after structural relaxation.

a = 3.793 Å, b = 8.540 Å, c = 10.783 Å
α = 106.09°, β = 90.00°, γ = 90.00°
Positions (direct):
Pm 0.750 0.860 0.105
Pm 0.250 0.140 0.895
Pm 0.250 0.708 0.549
Pm 0.750 0.292 0.451
Pm 0.750 0.489 0.139
Pm 0.250 0.511 0.861
Te 0.250 0.197 0.204
Te 0.750 0.803 0.796
C 0.250 0.667 0.083
C 0.750 0.333 0.917
Br 0.250 0.163 0.615
Br 0.750 0.837 0.385

Computed properties:
The calculation puts the formation energy from raw total energies at -5.1 eV per formula unit. The magnetization comes out at 0.00 μB per formula unit.

---

No. 3
The following is a DFT calculation (PBE) of Pm4TeCBr2 after structural relaxation.

a = 3.999 Å, b = 7.605 Å, c = 7.547 Å
α = 108.13°, β = 90.00°, γ = 90.00°
Positions (direct):
Pm 0.500 0.302 0.206
Pm 0.500 0.698 0.794
Pm 0.000 0.310 0.808
Pm 0.000 0.690 0.192
Te 0.000 0.000 0.000
C 0.500 0.500 0.000
Br 0.500 0.000 0.500
Br 0.000 0.500 0.500

Computed properties:
The calculation puts the formation energy from raw total energies at -8.6 eV per formula unit. The magnetization comes out at 0.00 μB per formula unit.

---

No. 4
The following is a DFT calculation (PBE) of PmYCBr after structural relaxation.

a = 3.731 Å, b = 3.731 Å, c = 7.594 Å
α = 90.00°, β = 104.22°, γ = 120.00°
Positions (direct):
Pm 0.515 0.156 0.686
Y 0.090 0.943 0.048
C 0.311 0.554 0.880
Br 0.961 0.379 0.355

Computed properties:
The calculation puts the formation energy from raw total energies at -3.7 eV per formula unit. The magnetization comes out at 0.00 μB per formula unit.

---

No. 5
The following is a DFT calculation (PBE) of Pr4C2Br after structural relaxation.

a = 3.782 Å, b = 3.782 Å, c = 14.518 Å
α = 82.52°, β = 82.52°, γ = 60.00°
Positions (direct):
Pr 0.122 0.122 0.635
Pr 0.277 0.277 0.168
Pr 0.723 0.723 0.832
Pr 0.878 0.878 0.365
C 0.422 0.422 0.735
C 0.578 0.578 0.265
Br 0.000 0.000 0.000

Computed properties:
The calculation puts the formation energy from raw total energies at -3.6 eV per formula unit. The magnetization comes out at 0.00 μB per formula unit.

---

No. 6
The following is a DFT calculation (PBE) of Pr3CBr after structural relaxation.

a = 5.213 Å, b = 8.442 Å, c = 7.464 Å
α = 90.00°, β = 90.00°, γ = 67.73°
Positions (direct):
Pr 0.141 0.775 0.491
Pr 0.859 0.225 0.509
Pr 0.141 0.775 0.009
Pr 0.859 0.225 0.991
Pr 0.518 0.974 0.750
Pr 0.482 0.026 0.250
C 0.996 0.004 0.750
C 0.004 0.996 0.250
Br 0.676 0.567 0.750
Br 0.324 0.433 0.250

Computed properties:
The calculation puts the formation energy from raw total energies at -2.1 eV per formula unit. The magnetization comes out at 0.00 μB per formula unit.